Record 1
# GaTeH, optimized geometry, DFT PBE
# **Total energy**: -0.1227 hartree per atom
# **DOS at the Fermi energy**: 0.0 states/eV per cell
# **Total magnetic moment**: 0.0 μB/cell
data_GaTeH
_cell_length_a 5.401
_cell_length_b 4.128
_cell_length_c 6.893
_cell_angle_alpha 90.00
_cell_angle_beta 107.78
_cell_angle_gamma 90.00
_space_group_name_H-M_alt 'P 1 m 1'
_space_group_IT_number 6
_space_group_name_Hall 'P -2y'
loop_
_atom_site_label
_atom_site_type_symbol
_atom_site_fract_x
_atom_site_fract_y
_atom_site_fract_z
_atom_site_occupancy
Ga1 Ga 0.000 0.000 0.000 1
Ga2 Ga 0.373 0.500 0.668 1
Te1 Te 0.329 0.500 0.043 1
Te2 Te 0.667 0.000 0.624 1
H1 H 0.106 0.500 0.495 1
H2 H 0.869 0.000 0.173 1

Record 2
# NaTiAl, optimized geometry, DFT PBE
# **Formation energy**: 0.74 eV per atom
# **DOS at the Fermi energy**: 3.0 states/eV per cell
# **Total magnetic moment**: 0.0 μB/cell
data_NaTiAl
_cell_length_a 6.600
_cell_length_b 6.600
_cell_length_c 6.600
_cell_angle_alpha 90.00
_cell_angle_beta 90.00
_cell_angle_gamma 90.00
_space_group_name_H-M_alt 'F -4 3 m'
_space_group_IT_number 216
_space_group_name_Hall 'F -4 2 3'
loop_
_atom_site_label
_atom_site_type_symbol
_atom_site_fract_x
_atom_site_fract_y
_atom_site_fract_z
_atom_site_occupancy
Na1 Na 0.000 0.000 0.000 1
Ti1 Ti 0.000 0.000 0.500 1
Al1 Al 0.250 0.250 0.250 1